First-principles (meta-GGA SCAN) data for a crystal of CaReNi relaxed with PBEsol, as listed in Alexandria.

* raw total energy: -31.894 eV/atom
* space group: I4mm (107)
* total moment: 0.000 μB/cell
* Fermi-level density of states: 2.4 states/eV per cell
* formation energy from the elements: 0.418 eV/atom

Cell: 6.522 6.522 6.522 Å, 155.19 155.19 35.37°
Fractional coordinates of all 3 atoms:
1 Ca 0.000 0.000 0.000
2 Re 0.304 0.304 0.000
3 Ni 0.683 0.683 0.000


First-principles (meta-GGA SCAN) data for a crystal of MgWAu relaxed with PBEsol, as listed in Alexandria.

* raw total energy: -47.310 eV/atom
* space group: F-43m (216)
* total moment: 0.994 μB/cell
* Fermi-level density of states: 3.4 states/eV per cell
* formation energy from the elements: 0.630 eV/atom

Cell: 4.345 4.345 4.345 Å, 60.00 60.00 60.00°
Fractional coordinates of all 3 atoms:
1 Mg 0.000 0.000 0.000
2 W 0.500 0.500 0.500
3 Au 0.750 0.750 0.750


First-principles (meta-GGA SCAN) data for a crystal of BaTa2Al relaxed with PBEsol, as listed in Alexandria.

* raw total energy: -44.488 eV/atom
* space group: C2/m (12)
* total moment: 0.000 μB/cell
* Fermi-level density of states: 3.2 states/eV per cell
* formation energy from the elements: 0.629 eV/atom

Cell: 5.337 5.337 6.049 Å, 98.32 98.32 32.58°
Fractional coordinates of all 4 atoms:
1 Ba 0.000 0.000 0.000
2 Ta 0.225 0.225 0.673
3 Ta 0.775 0.775 0.327
4 Al 0.500 0.500 0.500


First-principles (meta-GGA SCAN) data for a crystal of KPr5C2Cl10 relaxed with PBEsol, as listed in Alexandria.

* raw total energy: -20.196 eV/atom
* space group: P6_3 (173)
* total moment: 0.000 μB/cell
* Fermi-level density of states: 0.0 states/eV per cell
* formation energy without anion corrections: -2144 meV per atom

Cell: 8.394 8.394 14.935 Å, 90.00 90.00 120.00°
Fractional coordinates of all 36 atoms:
1 K 0.000 0.000 0.000
2 K 0.000 0.000 0.500
3 Pr 0.032 0.619 0.302
4 Pr 0.333 0.667 0.101
5 Pr 0.333 0.667 0.507
6 Pr 0.381 0.413 0.302
7 Pr 0.413 0.032 0.802
8 Pr 0.587 0.968 0.302
9 Pr 0.619 0.587 0.802
10 Pr 0.667 0.333 0.007
11 Pr 0.667 0.333 0.601
12 Pr 0.968 0.381 0.802
13 C 0.333 0.667 0.256
14 C 0.333 0.667 0.353
15 C 0.667 0.333 0.756
16 C 0.667 0.333 0.853
17 Cl 0.003 0.325 0.617
18 Cl 0.013 0.757 0.825
19 Cl 0.023 0.381 0.988
20 Cl 0.243 0.256 0.825
21 Cl 0.256 0.013 0.325
22 Cl 0.322 0.997 0.617
23 Cl 0.325 0.322 0.117
24 Cl 0.333 0.667 0.749
25 Cl 0.358 0.977 0.988
26 Cl 0.381 0.358 0.488
27 Cl 0.619 0.642 0.988
28 Cl 0.642 0.023 0.488
29 Cl 0.667 0.333 0.249
30 Cl 0.675 0.678 0.617
31 Cl 0.678 0.003 0.117
32 Cl 0.744 0.987 0.825
33 Cl 0.757 0.744 0.325
34 Cl 0.977 0.619 0.488
35 Cl 0.987 0.243 0.325
36 Cl 0.997 0.675 0.117


First-principles (meta-GGA SCAN) data for a crystal of LiYTe2 relaxed with PBEsol, as listed in Alexandria.

* raw total energy: -27.559 eV/atom
* space group: P4/mmm (123)
* total moment: 0.000 μB/cell
* Fermi-level density of states: 0.6 states/eV per cell
* formation energy without anion corrections: -1375 meV per atom

Cell: 4.303 4.303 5.950 Å, 90.00 90.00 90.00°
Fractional coordinates of all 4 atoms:
1 Li 0.000 0.000 0.000
2 Y 0.500 0.500 0.500
3 Te 0.000 0.000 0.500
4 Te 0.500 0.500 0.000


First-principles (meta-GGA SCAN) data for a crystal of Ti2PdBr relaxed with PBEsol, as listed in Alexandria.

* raw total energy: -21.155 eV/atom
* space group: Fm-3m (225)
* total moment: 0.000 μB/cell
* Fermi-level density of states: 3.1 states/eV per cell
* formation energy without anion corrections: -82 meV per atom

Cell: 4.489 4.489 4.489 Å, 60.00 60.00 60.00°
Fractional coordinates of all 4 atoms:
1 Ti 0.250 0.250 0.250
2 Ti 0.750 0.750 0.750
3 Pd 0.000 0.000 0.000
4 Br 0.500 0.500 0.500